Ti2NiS2 (PBE, relaxed); electronic total energy = -6.8490 eV per atom; symmetry = No. 127; ΔE_f (raw) = -4.42 eV per formula unit
1.0
6.563 0.000 0.000
0.000 6.563 0.000
0.000 0.000 3.172
Ti Ni S
4 2 4
Direct
0.149 0.351 0.000
0.351 0.851 0.000
0.649 0.149 0.000
0.851 0.649 0.000
0.000 0.000 0.500
0.500 0.500 0.500
0.153 0.653 0.500
0.347 0.153 0.500
0.653 0.847 0.500
0.847 0.347 0.500